VASP calculation (GGA-PBE) on crystalline BaCe2ZnP4 at its relaxed geometry.

Computed properties:
The calculation puts the formation energy from the elements at -8.7 eV/f.u.

Geometry as POSCAR:
```
BaCe2ZnP4
1.0
2.079 -7.015 0.000
2.079 7.015 0.000
0.000 0.000 13.821
Ba Ce Zn P
2 4 2 8
Cartesian
2.079 5.475 10.366
2.079 -5.475 3.455
2.079 1.853 7.696
2.079 1.853 13.036
2.079 -1.853 0.785
2.079 -1.853 6.125
2.079 4.812 3.455
2.079 -4.812 10.366
0.000 0.000 0.000
0.000 0.000 6.911
2.079 3.383 1.540
2.079 3.383 5.371
2.079 0.920 10.366
2.079 -0.920 3.455
2.079 -3.383 8.451
2.079 -3.383 12.281
```

VASP calculation (GGA-PBE) on crystalline Mg2AlRh at its relaxed geometry.

Computed properties:
Its density of states at the Fermi level is 1.3 states/eV/cell. The calculation puts the formation energy from the elements at -1.5 eV/f.u.

Geometry as POSCAR:
```
Mg2AlRh
1.0
-1.944 1.944 4.342
1.944 -1.944 4.342
1.944 1.944 -4.342
Mg Al Rh
2 1 1
Cartesian
1.944 0.000 2.171
0.000 1.944 2.171
0.000 0.000 0.000
0.000 0.000 4.342
```

VASP calculation (GGA-PBE) on crystalline ZrHg2As at its relaxed geometry.

Computed properties:
Its density of states at the Fermi level is 2.5 states/eV/cell. The calculation puts the formation energy from the elements at -0.3 eV/f.u.

Geometry as POSCAR:
```
ZrHg2As
1.0
1.630 0.941 9.829
-1.630 0.941 9.829
0.000 -1.883 9.829
Zr Hg As
1 2 1
Cartesian
0.000 0.000 0.000
0.000 0.000 7.374
0.000 0.000 14.581
0.000 0.000 21.776
```

VASP calculation (GGA-PBE) on crystalline NdHBr at its relaxed geometry.

Computed properties:
Its density of states at the Fermi level is 0.6 states/eV/cell. As for the electronic total energy: -27.047 eV per cell.

Geometry as POSCAR:
```
NdHBr
1.0
3.483 -2.011 0.000
3.483 2.011 0.000
-0.585 0.000 10.698
Nd H Br
2 2 2
Cartesian
0.870 0.000 3.913
5.512 0.000 6.785
0.866 0.000 6.229
5.515 0.000 4.469
3.193 0.000 2.017
3.189 0.000 8.681
```

What did the third record say?
VASP calculation (GGA-PBE) on crystalline ZrHg2As at its relaxed geometry.

Computed properties:
Its density of states at the Fermi level is 2.5 states/eV/cell. The calculation puts the formation energy from the elements at -0.3 eV/f.u.

Geometry as POSCAR:
```
ZrHg2As
1.0
1.630 0.941 9.829
-1.630 0.941 9.829
0.000 -1.883 9.829
Zr Hg As
1 2 1
Cartesian
0.000 0.000 0.000
0.000 0.000 7.374
0.000 0.000 14.581
0.000 0.000 21.776
```

Repeat the second record exactly.
VASP calculation (GGA-PBE) on crystalline Mg2AlRh at its relaxed geometry.

Computed properties:
Its density of states at the Fermi level is 1.3 states/eV/cell. The calculation puts the formation energy from the elements at -1.5 eV/f.u.

Geometry as POSCAR:
```
Mg2AlRh
1.0
-1.944 1.944 4.342
1.944 -1.944 4.342
1.944 1.944 -4.342
Mg Al Rh
2 1 1
Cartesian
1.944 0.000 2.171
0.000 1.944 2.171
0.000 0.000 0.000
0.000 0.000 4.342
```